Arrangement A

# La2SmSb, relaxed, DFT PBE
data_La2SmSb
_chemical_formula_sum 'La2 Sm1 Sb1'
_symmetry_space_group_name_H-M 'P 1'
_symmetry_Int_Tables_number 1
_cell_length_a 4.9230
_cell_length_b 4.9230
_cell_length_c 5.0286
_cell_angle_alpha 90.00
_cell_angle_beta 90.00
_cell_angle_gamma 90.00
loop_
_symmetry_equiv_pos_as_xyz
'x,y,z'
loop_
_atom_site_label
_atom_site_type_symbol
_atom_site_fract_x
_atom_site_fract_y
_atom_site_fract_z
La1 La 0.0000 0.5000 0.0000
La2 La 0.5000 0.0000 0.0000
Sm1 Sm 0.0000 0.0000 0.5000
Sb1 Sb 0.5000 0.5000 0.5000
# Space-group type   P4/mmm
# Crystal system   tetragonal
# Total moment   0.000 μB/atom

---

Arrangement B

# La2SmSb, relaxed, DFT PBE
data_La2SmSb
_chemical_formula_sum 'La2 Sm1 Sb1'
_symmetry_space_group_name_H-M 'P 1'
_symmetry_Int_Tables_number 1
_cell_length_a 10.1518
_cell_length_b 10.1518
_cell_length_c 10.1518
_cell_angle_alpha 23.79
_cell_angle_beta 23.79
_cell_angle_gamma 23.79
loop_
_symmetry_equiv_pos_as_xyz
'x,y,z'
loop_
_atom_site_label
_atom_site_type_symbol
_atom_site_fract_x
_atom_site_fract_y
_atom_site_fract_z
La1 La 0.0000 0.0000 0.0000
La2 La 0.1953 0.1953 0.1953
Sm1 Sm 0.4308 0.4308 0.4308
Sb1 Sb 0.5976 0.5976 0.5976
# Space-group type   R3m
# Crystal system   trigonal
# Total moment   0.198 μB/atom

---

Short version: arrangement A is the most stable of them.

---

Arrangement A

# La3SmSb3, relaxed, DFT PBE
data_La3SmSb3
_chemical_formula_sum 'La12 Sm4 Sb12'
_symmetry_space_group_name_H-M 'P 1'
_symmetry_Int_Tables_number 1
_cell_length_a 9.6306
_cell_length_b 9.6306
_cell_length_c 9.6306
_cell_angle_alpha 90.00
_cell_angle_beta 90.00
_cell_angle_gamma 90.00
loop_
_symmetry_equiv_pos_as_xyz
'x,y,z'
loop_
_atom_site_label
_atom_site_type_symbol
_atom_site_fract_x
_atom_site_fract_y
_atom_site_fract_z
La1 La 0.0682 0.4318 0.5682
La2 La 0.1777 0.8223 0.3223
La3 La 0.1786 0.1786 0.1786
La4 La 0.3214 0.8214 0.6786
La5 La 0.3223 0.1777 0.8223
La6 La 0.4318 0.5682 0.0682
La7 La 0.5682 0.0682 0.4318
La8 La 0.6777 0.6777 0.6777
La9 La 0.6786 0.3214 0.8214
La10 La 0.8214 0.6786 0.3214
La11 La 0.8223 0.3223 0.1777
La12 La 0.9318 0.9318 0.9318
Sm1 Sm 0.0708 0.5708 0.9292
Sm2 Sm 0.4292 0.4292 0.4292
Sm3 Sm 0.5708 0.9292 0.0708
Sm4 Sm 0.9292 0.0708 0.5708
Sb1 Sb 0.0011 0.2543 0.8711
Sb2 Sb 0.1289 0.5011 0.2457
Sb3 Sb 0.2457 0.1289 0.5011
Sb4 Sb 0.2543 0.8711 0.0011
Sb5 Sb 0.3711 0.4989 0.7457
Sb6 Sb 0.4989 0.7457 0.3711
Sb7 Sb 0.5011 0.2457 0.1289
Sb8 Sb 0.6289 0.9989 0.7543
Sb9 Sb 0.7457 0.3711 0.4989
Sb10 Sb 0.7543 0.6289 0.9989
Sb11 Sb 0.8711 0.0011 0.2543
Sb12 Sb 0.9989 0.7543 0.6289
# Space-group type   P2_13
# Crystal system   cubic
# Total moment   0.000 μB/atom

---

Arrangement B

# La3SmSb3, relaxed, DFT PBE
data_La3SmSb3
_chemical_formula_sum 'La6 Sm2 Sb6'
_symmetry_space_group_name_H-M 'P 1'
_symmetry_Int_Tables_number 1
_cell_length_a 9.8036
_cell_length_b 9.8036
_cell_length_c 6.4297
_cell_angle_alpha 90.00
_cell_angle_beta 90.00
_cell_angle_gamma 120.00
loop_
_symmetry_equiv_pos_as_xyz
'x,y,z'
loop_
_atom_site_label
_atom_site_type_symbol
_atom_site_fract_x
_atom_site_fract_y
_atom_site_fract_z
La1 La 0.0621 0.3734 0.2500
La2 La 0.3112 0.9379 0.2500
La3 La 0.3734 0.3112 0.7500
La4 La 0.6266 0.6888 0.2500
La5 La 0.6888 0.0621 0.7500
La6 La 0.9379 0.6266 0.7500
Sm1 Sm 0.3333 0.6667 0.7500
Sm2 Sm 0.6667 0.3333 0.2500
Sb1 Sb 0.0405 0.3434 0.7500
Sb2 Sb 0.3029 0.9595 0.7500
Sb3 Sb 0.3434 0.3029 0.2500
Sb4 Sb 0.6566 0.6971 0.7500
Sb5 Sb 0.6971 0.0405 0.2500
Sb6 Sb 0.9595 0.6566 0.2500
# Space-group type   P6_3/m
# Crystal system   hexagonal
# Total moment   0.065 μB/atom

---

Short version: arrangement A is the most stable of them.

---

Arrangement A

# La3SmSb2, relaxed, DFT PBE
data_La3SmSb2
_chemical_formula_sum 'La3 Sm1 Sb2'
_symmetry_space_group_name_H-M 'P 1'
_symmetry_Int_Tables_number 1
_cell_length_a 4.6634
_cell_length_b 4.6634
_cell_length_c 9.0155
_cell_angle_alpha 90.00
_cell_angle_beta 90.00
_cell_angle_gamma 90.00
loop_
_symmetry_equiv_pos_as_xyz
'x,y,z'
loop_
_atom_site_label
_atom_site_type_symbol
_atom_site_fract_x
_atom_site_fract_y
_atom_site_fract_z
La1 La 0.0000 0.0000 0.0000
La2 La 0.0000 0.5000 0.6442
La3 La 0.5000 0.0000 0.3558
Sm1 Sm 0.5000 0.5000 0.0000
Sb1 Sb 0.0000 0.5000 0.2752
Sb2 Sb 0.5000 0.0000 0.7248
# Space-group type   P-4m2
# Crystal system   tetragonal
# Total moment   0.000 μB/atom

---

Arrangement B

# La3SmSb2, relaxed, DFT PBE
data_La3SmSb2
_chemical_formula_sum 'La6 Sm2 Sb4'
_symmetry_space_group_name_H-M 'P 1'
_symmetry_Int_Tables_number 1
_cell_length_a 9.2481
_cell_length_b 9.2481
_cell_length_c 9.2481
_cell_angle_alpha 133.23
_cell_angle_beta 72.37
_cell_angle_gamma 128.16
loop_
_symmetry_equiv_pos_as_xyz
'x,y,z'
loop_
_atom_site_label
_atom_site_type_symbol
_atom_site_fract_x
_atom_site_fract_y
_atom_site_fract_z
La1 La 0.0432 0.7500 0.2932
La2 La 0.2500 0.2500 0.0000
La3 La 0.4568 0.7500 0.7068
La4 La 0.5432 0.2500 0.2932
La5 La 0.7500 0.7500 0.0000
La6 La 0.9568 0.2500 0.7068
Sm1 Sm 0.0000 0.5000 0.5000
Sm2 Sm 0.5000 0.0000 0.5000
Sb1 Sb 0.1449 0.1771 0.3220
Sb2 Sb 0.3551 0.6771 0.0322
Sb3 Sb 0.6449 0.3229 0.9678
Sb4 Sb 0.8551 0.8229 0.6780
# Space-group type   Ibam
# Crystal system   orthorhombic
# Total moment   0.035 μB/atom

---

Short version: arrangement A is the most stable of them.